The following is a GGA-PBE calculation of a relaxed structure of ZnSnAsO, from OQMD.

ρ in g cm⁻³: 5.7
Excess energy over the best structure of this formula in the dataset in kJ/mol of formula units: 46

```
ZnSnAsO
1.0
3.820 0.000 0.000
0.000 6.370 0.000
0.000 0.000 6.552
Zn Sn As O
2 2 2 2
Direct
0.000 0.225 0.000
0.000 0.775 0.500
0.500 0.337 0.568
0.500 0.663 0.068
0.000 0.138 0.369
0.000 0.862 0.869
0.500 0.362 0.919
0.500 0.638 0.419
```

The following is a GGA-PBE calculation of a relaxed structure of ZnSnAsO, from OQMD.

ρ in g cm⁻³: 5.3
Excess energy over the best structure of this formula in the dataset in kJ/mol of formula units: 133

```
ZnSnAsO
1.0
4.370 0.000 0.000
0.000 4.370 0.000
0.000 0.000 8.986
Zn Sn As O
2 2 2 2
Direct
0.250 0.250 0.008
0.750 0.750 0.992
0.250 0.750 0.500
0.750 0.250 0.500
0.250 0.250 0.315
0.750 0.750 0.685
0.250 0.750 0.000
0.750 0.250 0.000
```

The following is a GGA-PBE calculation of a relaxed structure of ZnSnAsO, from OQMD.

ρ in g cm⁻³: 6.3
Excess energy over the best structure of this formula in the dataset in kJ/mol of formula units: 4

```
ZnSnAsO
1.0
3.842 0.000 0.000
0.000 3.842 0.000
0.000 0.000 9.766
Zn Sn As O
2 2 2 2
Direct
0.250 0.750 0.000
0.750 0.250 0.000
0.250 0.250 0.379
0.750 0.750 0.621
0.250 0.250 0.829
0.750 0.750 0.171
0.250 0.750 0.500
0.750 0.250 0.500
```

The following is a GGA-PBE calculation of a relaxed structure of ZrSnAsO, from OQMD.

ρ in g cm⁻³: 5.2
Excess energy over the best structure of this formula in the dataset in kJ/mol of formula units: 0

```
ZrSnAsO
1.0
3.898 0.000 0.000
0.000 6.661 0.000
0.000 0.000 7.467
Zr Sn As O
2 2 2 2
Direct
0.000 0.085 0.000
0.000 0.915 0.500
0.500 0.284 0.575
0.500 0.716 0.075
0.500 0.354 0.928
0.500 0.646 0.428
0.000 0.071 0.266
0.000 0.929 0.766
```

The following is a GGA-PBE calculation of a relaxed structure of ZrSnAsO, from OQMD.

ρ in g cm⁻³: 6.6
Excess energy over the best structure of this formula in the dataset in kJ/mol of formula units: 1

```
ZrSnAsO
1.0
3.826 0.000 0.000
0.000 3.826 0.000
0.000 0.000 10.415
Zr Sn As O
2 2 2 2
Direct
0.250 0.250 0.111
0.750 0.750 0.889
0.250 0.750 0.500
0.750 0.250 0.500
0.250 0.250 0.753
0.750 0.750 0.247
0.250 0.750 0.000
0.750 0.250 0.000
```

The following is a GGA-PBE calculation of a relaxed structure of ZrSnAsO, from OQMD.

ρ in g cm⁻³: 6.6
Excess energy over the best structure of this formula in the dataset in kJ/mol of formula units: 158

```
ZrSnAsO
1.0
4.486 0.000 0.000
0.000 4.486 0.000
0.000 0.000 7.544
Zr Sn As O
2 2 2 2
Direct
0.250 0.750 0.000
0.750 0.250 0.000
0.250 0.250 0.396
0.750 0.750 0.604
0.250 0.250 0.804
0.750 0.750 0.196
0.250 0.750 0.500
0.750 0.250 0.500
```

The following is a GGA-PBE calculation of a relaxed structure of ZrSnAsO, from OQMD.

ρ in g cm⁻³: 6.7
Excess energy over the best structure of this formula in the dataset in kJ/mol of formula units: 6

```
ZrSnAsO
1.0
3.866 0.000 0.000
0.000 3.866 0.000
0.000 0.000 10.002
Zr Sn As O
2 2 2 2
Direct
0.250 0.250 0.111
0.750 0.750 0.889
0.250 0.750 0.500
0.750 0.250 0.500
0.250 0.250 0.754
0.750 0.750 0.246
0.250 0.750 0.000
0.750 0.250 0.000
```

The following is a GGA-PBE calculation of a relaxed structure of Sr3TaAs3O, from OQMD.

ρ in g cm⁻³: 5.0
Uncorrected energy in eV per cell: -190.36

```
Sr3TaAs3O
1.0
6.433 0.000 0.000
0.000 10.757 0.000
0.000 0.000 13.021
Sr Ta As O
12 4 12 4
Direct
0.232 0.250 0.128
0.246 0.543 0.372
0.246 0.957 0.372
0.254 0.043 0.872
0.254 0.457 0.872
0.268 0.750 0.628
0.732 0.250 0.372
0.746 0.543 0.128
0.746 0.957 0.128
0.754 0.043 0.628
0.754 0.457 0.628
0.768 0.750 0.872
0.159 0.250 0.549
0.341 0.750 0.049
0.659 0.250 0.951
0.841 0.750 0.451
0.236 0.250 0.363
0.236 0.548 0.124
0.236 0.952 0.124
0.264 0.048 0.624
0.264 0.452 0.624
0.264 0.750 0.863
0.736 0.250 0.137
0.736 0.548 0.376
0.736 0.952 0.376
0.764 0.048 0.876
0.764 0.452 0.876
0.764 0.750 0.637
0.135 0.750 0.445
0.365 0.250 0.945
0.635 0.750 0.055
0.865 0.250 0.555
```

The following is a GGA-PBE calculation of a relaxed structure of SrZn2As2O8, from OQMD.

ρ in g cm⁻³: 4.3
Uncorrected energy in eV per cell: -300.48

```
SrZn2As2O8
1.0
8.580 0.000 0.000
0.000 9.730 0.000
-0.357 0.000 9.211
Sr Zn As O
4 8 8 32
Direct
0.246 0.084 0.116
0.246 0.416 0.616
0.754 0.584 0.384
0.754 0.916 0.884
0.079 0.684 0.047
0.079 0.816 0.547
0.427 0.071 0.723
0.427 0.429 0.223
0.573 0.571 0.777
0.573 0.929 0.277
0.921 0.184 0.453
0.921 0.316 0.953
0.058 0.082 0.753
0.058 0.418 0.253
0.450 0.705 0.060
0.450 0.795 0.560
0.550 0.205 0.440
0.550 0.295 0.940
0.942 0.582 0.747
0.942 0.918 0.247
0.026 0.066 0.314
0.026 0.434 0.814
0.064 0.624 0.610
0.064 0.876 0.110
0.071 0.202 0.620
0.071 0.298 0.120
0.239 0.060 0.838
0.239 0.440 0.338
0.285 0.627 0.992
0.285 0.873 0.492
0.408 0.204 0.568
0.408 0.296 0.068
0.426 0.628 0.615
0.426 0.872 0.115
0.474 0.108 0.298
0.474 0.392 0.798
0.526 0.608 0.202
0.526 0.892 0.702
0.574 0.128 0.885
0.574 0.372 0.385
0.592 0.704 0.932
0.592 0.796 0.432
0.715 0.127 0.508
0.715 0.373 0.008
0.761 0.560 0.662
0.761 0.940 0.162
0.929 0.702 0.880
0.929 0.798 0.380
0.936 0.124 0.890
0.936 0.376 0.390
0.974 0.566 0.186
0.974 0.934 0.686
```

The following is a GGA-PBE calculation of a relaxed structure of SrZnAs2O7, from OQMD.

ρ in g cm⁻³: 4.6
Uncorrected energy in eV per cell: -262.49

```
SrZnAs2O7
1.0
5.518 0.000 0.000
0.000 8.306 0.000
-5.306 0.000 13.054
Sr Zn As O
4 4 8 28
Direct
0.008 0.170 0.217
0.008 0.330 0.717
0.992 0.670 0.283
0.992 0.830 0.783
0.270 0.642 0.610
0.270 0.858 0.110
0.730 0.142 0.890
0.730 0.358 0.390
0.344 0.195 0.012
0.344 0.305 0.512
0.412 0.021 0.659
0.412 0.479 0.159
0.588 0.521 0.841
0.588 0.979 0.341
0.656 0.695 0.488
0.656 0.805 0.988
0.099 0.166 0.896
0.099 0.334 0.396
0.164 0.044 0.700
0.164 0.456 0.200
0.281 0.102 0.109
0.281 0.398 0.609
0.308 0.095 0.531
0.308 0.405 0.031
0.309 0.620 0.769
0.309 0.880 0.269
0.341 0.655 0.474
0.341 0.845 0.974
0.492 0.171 0.348
0.492 0.329 0.848
0.508 0.671 0.152
0.508 0.829 0.652
0.659 0.155 0.026
0.659 0.345 0.526
0.691 0.120 0.731
0.691 0.380 0.231
0.692 0.595 0.969
0.692 0.905 0.469
0.719 0.602 0.391
0.719 0.898 0.891
0.836 0.544 0.800
0.836 0.956 0.300
0.901 0.666 0.604
0.901 0.834 0.104
```

The following is a GGA-PBE calculation of a relaxed structure of SrZr2As2O7, from OQMD.

ρ in g cm⁻³: 4.2
Uncorrected energy in eV per cell: -87.24

```
SrZr2As2O7
1.0
2.749 1.587 7.949
-2.749 1.587 7.949
0.000 -3.175 7.949
Sr Zr As O
1 2 2 7
Direct
0.000 0.000 0.000
0.418 0.418 0.418
0.582 0.582 0.582
0.224 0.224 0.224
0.776 0.776 0.776
0.019 0.447 0.728
0.272 0.553 0.981
0.447 0.728 0.019
0.500 0.500 0.500
0.553 0.981 0.272
0.728 0.019 0.447
0.981 0.272 0.553
```

The following is a GGA-PBE calculation of a relaxed structure of Ta2As2O5, from OQMD.

ρ in g cm⁻³: 9.6
Excess energy over the best structure of this formula in the dataset in kJ/mol of formula units: 872

```
Ta2As2O5
1.0
4.021 0.000 0.000
0.000 4.021 0.000
0.000 0.000 6.312
Ta As O
2 2 5
Direct
0.000 0.000 0.000
0.000 0.000 0.500
0.500 0.500 0.206
0.500 0.500 0.794
0.000 0.500 0.291
0.000 0.500 0.709
0.500 0.000 0.291
0.500 0.000 0.709
0.500 0.500 0.500
```